Record 1
This record from Alexandria describes a geometry-optimized Zn4BOs2 structure. The functional is PBE.

```
Zn4BOs2
1.0
-1.993 1.993 6.428
1.993 -1.993 6.428
1.993 1.993 -6.428
Zn B Os
4 1 2
Cartesian
1.993 0.000 0.000
0.000 0.000 2.219
0.000 1.993 0.000
0.000 0.000 10.637
0.000 0.000 0.000
0.000 0.000 4.696
0.000 0.000 8.161
```

Total energy   -3.87 eV per atom
DFT formation energy   1024 meV/atom

=====

Record 2
This record from Alexandria describes a geometry-optimized Ni2Mo4N structure. The functional is PBE.

```
Ni2Mo4N
1.0
-2.012 2.012 6.120
2.012 -2.012 6.120
2.012 2.012 -6.120
Ni Mo N
2 4 1
Cartesian
0.000 0.000 1.670
0.000 0.000 10.570
2.012 0.000 0.000
0.000 0.000 4.039
0.000 2.012 0.000
0.000 0.000 8.201
0.000 0.000 6.120
```

Total energy   -8.77 eV per atom
Energy relative to the lowest polymorph listed for this composition   3.216 eV per formula unit

=====

Record 3
This record from Alexandria describes a geometry-optimized LiGeF5 structure. The functional is PBE.

```
LiGeF5
1.0
4.078 -3.276 0.000
4.078 3.276 0.000
-3.510 0.000 6.622
Li Ge F
2 2 10
Cartesian
1.445 2.945 4.966
3.200 -2.945 1.655
4.078 0.000 0.000
2.323 0.000 3.311
1.966 1.742 3.545
-0.975 0.224 5.746
0.924 1.742 6.388
0.780 -0.224 2.435
3.200 0.470 1.655
1.445 -0.470 4.966
3.865 0.224 4.187
3.721 -1.742 0.234
5.620 -0.224 0.876
2.679 -1.742 3.077
```

Total energy   -4.86 eV per atom

=====

What is the total energy in the third record? -4.86 eV per atom